Entry 1:
HgPtAu2 after structural relaxation, computed with PBE.

Cell and atoms, written as POSCAR:
```
HgPtAu2
1.0
2.831 -5.118 0.000
2.831 5.118 0.000
-1.570 0.000 2.554
Hg Pt Au
1 1 2
Cartesian
0.000 0.000 0.000
2.831 0.000 0.000
0.630 2.559 1.277
0.630 -2.559 1.277
```

Properties
- electronic total energy (eV/atom) = -3.18
- space group = C2/m (12)
- magnetic moment (Bohr magnetons per cell) = 0.00



Entry 2:
SmHfP2Rh5 after structural relaxation, computed with PBE.

Cell and atoms, written as POSCAR:
```
SmHfP2Rh5
1.0
4.048 0.000 0.000
0.000 4.048 0.000
0.000 0.000 10.254
Sm Hf P Rh
1 1 2 5
Cartesian
0.000 0.000 0.000
0.000 0.000 5.127
2.024 2.024 2.264
2.024 2.024 7.991
0.000 2.024 3.296
0.000 2.024 6.958
2.024 0.000 3.296
2.024 0.000 6.958
2.024 2.024 0.000
```

Properties
- electronic total energy (eV/atom) = -7.71
- space group = P4/mmm (123)
- magnetic moment (Bohr magnetons per cell) = 0.00



Entry 3:
Sm14TmIn after structural relaxation, computed with PBE.

Cell and atoms, written as POSCAR:
```
Sm14TmIn
1.0
7.157 0.000 0.000
0.000 7.157 0.000
0.000 0.000 10.189
Sm Tm In
14 1 1
Cartesian
0.000 0.000 0.000
0.000 3.579 0.000
0.000 3.579 5.094
1.782 1.782 2.594
1.782 1.782 7.595
1.782 5.375 2.594
1.782 5.375 7.595
3.579 0.000 0.000
3.579 0.000 5.094
3.579 3.579 0.000
5.375 1.782 2.594
5.375 1.782 7.595
5.375 5.375 2.594
5.375 5.375 7.595
3.579 3.579 5.094
0.000 0.000 5.094
```

Properties
- electronic total energy (eV/atom) = -4.62
- space group = P4/mmm (123)
- magnetic moment (Bohr magnetons per cell) = 0.00